# K2TlP PBE-GGA relaxed
data_K2TlP
_chemical_formula_sum 'K4 Tl2 P2'
_symmetry_space_group_name_H-M 'C 1 m 1'
_symmetry_Int_Tables_number 8
_cell_length_a 12.8653
_cell_length_b 4.1164
_cell_length_c 5.6272
_cell_angle_alpha 90.00
_cell_angle_beta 115.82
_cell_angle_gamma 90.00
loop_
_symmetry_equiv_pos_as_xyz
'x,y,z'
'x,-y,z'
'x+1/2,y+1/2,z'
'x+1/2,-y+1/2,z'
loop_
_atom_site_label
_atom_site_fract_x
_atom_site_fract_y
_atom_site_fract_z
K1 0.0000 0.0000 0.0000
K2 0.1777 0.0000 0.6776
Tl1 0.3815 0.0000 0.3815
P1 0.2284 0.5000 0.2271
# crystal system = monoclinic
# ρ = 3.88 Mg/m³
# energy above the lowest structure with this stoichiometry = 0.04 eV/f.u.

# K2TlP PBE-GGA relaxed
data_K2TlP
_chemical_formula_sum 'K8 Tl4 P4'
_symmetry_space_group_name_H-M 'F m -3 m'
_symmetry_Int_Tables_number 225
_symmetry_space_group_name_Hall '-F 4 2 3'
_cell_length_a 7.9188
_cell_length_b 7.9188
_cell_length_c 7.9188
_cell_angle_alpha 90.00
_cell_angle_beta 90.00
_cell_angle_gamma 90.00
loop_
_atom_site_label
_atom_site_fract_x
_atom_site_fract_y
_atom_site_fract_z
K1 0.2500 0.2500 0.2500
Tl1 0.0000 0.0000 0.0000
P1 0.0000 0.0000 0.5000
# crystal system = cubic
# ρ = 4.19 Mg/m³
# energy above the lowest structure with this stoichiometry = 0.77 eV/f.u.

# KTl2P PBE-GGA relaxed
data_KTl2P
_chemical_formula_sum 'K3 Tl6 P3'
_symmetry_space_group_name_H-M 'R 3 m'
_symmetry_Int_Tables_number 160
_symmetry_space_group_name_Hall 'R 3 -2"'
_cell_length_a 4.3249
_cell_length_b 4.3249
_cell_length_c 24.7693
_cell_angle_alpha 90.00
_cell_angle_beta 90.00
_cell_angle_gamma 120.00
loop_
_atom_site_label
_atom_site_fract_x
_atom_site_fract_y
_atom_site_fract_z
K1 0.0000 0.0000 0.0000
Tl1 0.0000 0.0000 0.2076
Tl2 0.0000 0.0000 0.4583
P1 0.0000 0.0000 0.7451
# crystal system = trigonal
# ρ = 5.95 Mg/m³
# energy above the lowest structure with this stoichiometry = 0.52 eV/f.u.

# KTl4P PBE-GGA relaxed
data_KTl4P
_chemical_formula_sum 'K4 Tl16 P4'
_symmetry_space_group_name_H-M 'F -4 3 m'
_symmetry_Int_Tables_number 216
_symmetry_space_group_name_Hall 'F -4 2 3'
_cell_length_a 9.1475
_cell_length_b 9.1475
_cell_length_c 9.1475
_cell_angle_alpha 90.00
_cell_angle_beta 90.00
_cell_angle_gamma 90.00
loop_
_atom_site_label
_atom_site_fract_x
_atom_site_fract_y
_atom_site_fract_z
K1 0.0000 0.0000 0.0000
Tl1 0.1237 0.1237 0.3763
P1 0.2500 0.2500 0.7500
# crystal system = cubic
# ρ = 7.70 Mg/m³

# K2TlP PBE-GGA relaxed
data_K2TlP
_chemical_formula_sum 'K2 Tl1 P1'
_symmetry_space_group_name_H-M 'P 4 m m'
_symmetry_Int_Tables_number 99
_cell_length_a 3.9202
_cell_length_b 3.9202
_cell_length_c 9.8295
_cell_angle_alpha 90.00
_cell_angle_beta 90.00
_cell_angle_gamma 90.00
loop_
_symmetry_equiv_pos_as_xyz
'x,y,z'
'-y,x,z'
'-x,-y,z'
'y,-x,z'
'-x,y,z'
'y,x,z'
'x,-y,z'
'-y,-x,z'
loop_
_atom_site_label
_atom_site_fract_x
_atom_site_fract_y
_atom_site_fract_z
K1 0.0000 0.0000 0.0000
K2 0.5000 0.5000 0.4412
Tl1 0.5000 0.5000 0.7749
P1 0.0000 0.0000 0.6534
# crystal system = tetragonal
# ρ = 3.45 Mg/m³
# energy above the lowest structure with this stoichiometry = 0.87 eV/f.u.

# KTl2P PBE-GGA relaxed
data_KTl2P
_chemical_formula_sum 'K2 Tl4 P2'
_symmetry_space_group_name_H-M 'C 1 m 1'
_symmetry_Int_Tables_number 8
_cell_length_a 9.7022
_cell_length_b 4.1858
_cell_length_c 7.1502
_cell_angle_alpha 90.00
_cell_angle_beta 109.21
_cell_angle_gamma 90.00
loop_
_symmetry_equiv_pos_as_xyz
'x,y,z'
'x,-y,z'
'x+1/2,y+1/2,z'
'x+1/2,-y+1/2,z'
loop_
_atom_site_label
_atom_site_fract_x
_atom_site_fract_y
_atom_site_fract_z
K1 0.0000 0.0000 0.0000
Tl1 0.0790 0.5000 0.5792
Tl2 0.2939 0.5000 0.3551
P1 0.3232 0.0000 0.6631
# crystal system = monoclinic
# ρ = 5.80 Mg/m³
# energy above the lowest structure with this stoichiometry = 0.34 eV/f.u.

# KTl2P PBE-GGA relaxed
data_KTl2P
_chemical_formula_sum 'K1 Tl2 P1'
_symmetry_space_group_name_H-M 'P 4/m m m'
_symmetry_Int_Tables_number 123
_symmetry_space_group_name_Hall '-P 4 2'
_cell_length_a 3.7854
_cell_length_b 3.7854
_cell_length_c 8.0248
_cell_angle_alpha 90.00
_cell_angle_beta 90.00
_cell_angle_gamma 90.00
loop_
_atom_site_label
_atom_site_fract_x
_atom_site_fract_y
_atom_site_fract_z
K1 0.0000 0.0000 0.0000
Tl1 0.5000 0.5000 0.3066
P1 0.0000 0.0000 0.5000
# crystal system = tetragonal
# ρ = 6.91 Mg/m³
# energy above the lowest structure with this stoichiometry = 0.52 eV/f.u.

# KTl2P2 PBE-GGA relaxed
data_KTl2P2
_chemical_formula_sum 'K2 Tl4 P4'
_symmetry_space_group_name_H-M 'I 4/m m m'
_symmetry_Int_Tables_number 139
_symmetry_space_group_name_Hall '-I 4 2'
_cell_length_a 5.0882
_cell_length_b 5.0882
_cell_length_c 10.6005
_cell_angle_alpha 90.00
_cell_angle_beta 90.00
_cell_angle_gamma 90.00
loop_
_atom_site_label
_atom_site_fract_x
_atom_site_fract_y
_atom_site_fract_z
K1 0.0000 0.0000 0.0000
Tl1 0.0000 0.0000 0.3601
P1 0.0000 0.5000 0.2500
# crystal system = tetragonal
# ρ = 6.17 Mg/m³
# energy above the lowest structure with this stoichiometry = 1.04 eV/f.u.

# K2TlP PBE-GGA relaxed
data_K2TlP
_chemical_formula_sum 'K2 Tl1 P1'
_symmetry_space_group_name_H-M 'P 1 m 1'
_symmetry_Int_Tables_number 6
_cell_length_a 5.2024
_cell_length_b 4.2567
_cell_length_c 6.8626
_cell_angle_alpha 90.00
_cell_angle_beta 112.12
_cell_angle_gamma 90.00
loop_
_symmetry_equiv_pos_as_xyz
'x,y,z'
'x,-y,z'
loop_
_atom_site_label
_atom_site_fract_x
_atom_site_fract_y
_atom_site_fract_z
K1 0.0000 0.0000 0.0000
K2 0.3026 0.5000 0.6065
Tl1 0.6038 0.5000 0.2089
P1 0.7374 0.0000 0.4727
# crystal system = monoclinic
# ρ = 3.70 Mg/m³
# energy above the lowest structure with this stoichiometry = 0.00 eV/f.u.

# KTl2P PBE-GGA relaxed
data_KTl2P
_chemical_formula_sum 'K2 Tl4 P2'
_symmetry_space_group_name_H-M 'I m m m'
_symmetry_Int_Tables_number 71
_symmetry_space_group_name_Hall '-I 2 2'
_cell_length_a 3.8124
_cell_length_b 5.9467
_cell_length_c 11.0855
_cell_angle_alpha 90.00
_cell_angle_beta 90.00
_cell_angle_gamma 90.00
loop_
_atom_site_label
_atom_site_fract_x
_atom_site_fract_y
_atom_site_fract_z
K1 0.0000 0.0000 0.0000
Tl1 0.0000 0.5000 0.1882
P1 0.0000 0.0000 0.5000
# crystal system = orthorhombic
# ρ = 6.33 Mg/m³
# energy above the lowest structure with this stoichiometry = 0.15 eV/f.u.

# KTl2P PBE-GGA relaxed
data_KTl2P
_chemical_formula_sum 'K2 Tl4 P2'
_symmetry_space_group_name_H-M 'I m m 2'
_symmetry_Int_Tables_number 44
_cell_length_a 4.1984
_cell_length_b 5.7405
_cell_length_c 10.1630
_cell_angle_alpha 90.00
_cell_angle_beta 90.00
_cell_angle_gamma 90.00
loop_
_symmetry_equiv_pos_as_xyz
'x,y,z'
'-x,-y,z'
'-x,y,z'
'x,-y,z'
'x+1/2,y+1/2,z+1/2'
'-x+1/2,-y+1/2,z+1/2'
'-x+1/2,y+1/2,z+1/2'
'x+1/2,-y+1/2,z+1/2'
loop_
_atom_site_label
_atom_site_fract_x
_atom_site_fract_y
_atom_site_fract_z
K1 0.0000 0.0000 0.0000
Tl1 0.0000 0.0000 0.4194
Tl2 0.0000 0.5000 0.1982
P1 0.0000 0.5000 0.7490
# crystal system = orthorhombic
# ρ = 6.49 Mg/m³
# energy above the lowest structure with this stoichiometry = 0.50 eV/f.u.

# KTlP PBE-GGA relaxed
data_KTlP
_chemical_formula_sum 'K4 Tl4 P4'
_symmetry_space_group_name_H-M 'F -4 3 m'
_symmetry_Int_Tables_number 216
_symmetry_space_group_name_Hall 'F -4 2 3'
_cell_length_a 7.4134
_cell_length_b 7.4134
_cell_length_c 7.4134
_cell_angle_alpha 90.00
_cell_angle_beta 90.00
_cell_angle_gamma 90.00
loop_
_atom_site_label
_atom_site_fract_x
_atom_site_fract_y
_atom_site_fract_z
K1 0.0000 0.0000 0.0000
Tl1 0.2500 0.2500 0.7500
P1 0.2500 0.2500 0.2500
# crystal system = cubic
# ρ = 4.47 Mg/m³
# energy above the lowest structure with this stoichiometry = 1.52 eV/f.u.

Calculated DFT formation energy (eV per atom), listed in the same order as above: -0.209 -0.028 0.017 0.228 -0.002 -0.027 0.017 0.117 -0.220 -0.075 0.011 0.445
Calculated uncorrected energy (eV per atom), listed in the same order as above: -2.702 -2.521 -2.793 -2.434 -2.494 -2.837 -2.793 -3.213 -2.713 -2.885 -2.799 -2.513